A relaxed structure of K3Pu3ScTe8. Source: the Alexandria database, functional PBE.

a b c (Å): 8.898 8.897 9.798
angles (deg): 116.99 90.00 120.01
Fractional positions:
Te: 0.745 0.972 0.700
Te: 0.773 0.028 0.300
Sc: 0.000 0.000 0.500
Pu: 0.500 0.500 0.500
Te: 0.227 0.972 0.700
K: 0.000 0.000 0.000
K: 0.000 0.500 0.000
Te: 0.228 0.455 0.700
Te: 0.736 0.473 0.709
Pu: 0.500 0.000 0.500
Te: 0.264 0.527 0.291
Pu: 0.000 0.500 0.500
Te: 0.772 0.545 0.300
K: 0.500 0.500 0.000
Te: 0.255 0.028 0.300

Space group: No. 166
E, eV for the cell shown: -94.06
Mass density, g cm⁻³: 5.56

***

A relaxed structure of K4PuSc3Te8. Source: the Alexandria database, functional PBE.

a b c (Å): 8.758 9.626 8.759
angles (deg): 117.06 120.00 90.00
Fractional positions:
K: 0.500 0.000 0.500
Te: 0.720 0.702 0.961
K: 0.000 0.000 0.000
Te: 0.241 0.702 0.482
Te: 0.732 0.697 0.465
Te: 0.759 0.298 0.518
Te: 0.268 0.303 0.535
K: 0.000 0.000 0.500
Te: 0.241 0.702 0.961
Sc: 0.000 0.500 0.500
Te: 0.759 0.298 0.039
K: 0.500 0.000 0.000
Pu: 0.000 0.500 0.000
Sc: 0.500 0.500 0.000
Te: 0.280 0.298 0.039
Sc: 0.500 0.500 0.500

Space group: No. 166
E, eV for the cell shown: -82.16
Mass density, g cm⁻³: 4.75